No. 1
Compound: NdIn6Ni6
Source: the Alexandria database
Functional: PBE
Structure: relaxed

Values from the calculation:
DFT formation energy, eV/atom: -0.21
Fermi-level density of states, states/eV per cell: 8.959
Calculated density, g cm⁻³: 8.81
E_tot, hartree per atom: -0.16577

Unit cell a=7.0054 b=7.0054 c=7.0054 alpha=135.34 beta=99.51 gamma=97.09
Fractional coordinates of all 13 atoms:
1 Nd 0.0000 0.0000 0.0000
2 In 0.1818 0.6818 0.5000
3 In 0.3334 0.0000 0.3334
4 In 0.3430 0.3430 0.0000
5 In 0.6570 0.6570 0.0000
6 In 0.6666 0.0000 0.6666
7 In 0.8182 0.3182 0.5000
8 Ni 0.0000 0.0000 0.5000
9 Ni 0.0000 0.5000 0.0000
10 Ni 0.2376 0.5000 0.7376
11 Ni 0.5000 0.0000 0.0000
12 Ni 0.5000 0.5000 0.5000
13 Ni 0.7624 0.5000 0.2624

---

No. 2
Compound: Mn4VIn
Source: the Alexandria database
Functional: PBE
Structure: relaxed

Values from the calculation:
DFT formation energy, eV/atom: 0.09
Fermi-level density of states, states/eV per cell: 5.999
Calculated density, g cm⁻³: 8.18
E_tot, hartree per atom: -0.29412

Unit cell a=4.8008 b=4.8008 c=4.8008 alpha=60.00 beta=60.00 gamma=60.00
Fractional coordinates of all 6 atoms:
1 Mn 0.3755 0.3755 0.3755
2 Mn 0.3755 0.3755 0.8735
3 Mn 0.3755 0.8735 0.3755
4 Mn 0.8735 0.3755 0.3755
5 V 0.0000 0.0000 0.0000
6 In 0.7500 0.7500 0.7500